VASP calculation (PBE) on an optimized crystal structure of CsBaNiH4.

Computed properties:
DOS at the Fermi energy   5.363 states/eV/cell
E_tot   -47.69 eV per cell
Calculated density   3.96 g cm⁻³

```
CsBaNiH4
1.0
5.677 0.000 0.000
0.000 5.918 0.000
-2.257 0.000 8.321
Cs Ba Ni H
2 2 2 8
Direct
0.209 0.250 0.422 Cs
0.791 0.750 0.578 Cs
0.284 0.750 0.052 Ba
0.716 0.250 0.948 Ba
0.155 0.250 0.820 Ni
0.845 0.750 0.180 Ni
0.087 0.750 0.326 H
0.237 0.001 0.790 H
0.237 0.499 0.790 H
0.264 0.250 0.012 H
0.736 0.750 0.988 H
0.763 0.501 0.210 H
0.763 0.999 0.210 H
0.913 0.250 0.674 H
```